Run w
SrInCl2, PBEsol geometry, DFT SCAN; space group = No. 12
1.0
5.1059 -0.0051 -0.0077
-2.1561 5.1260 -0.0366
-2.1563 -1.9209 4.7529
Sr Cl In
1 2 1
Direct
0.5000 0.5000 0.5000
0.0000 0.5000 0.0000
0.0000 0.0000 0.5000
0.5000 0.0000 0.0000


Run x
SrInCl2, PBEsol geometry, DFT SCAN; space group = No. 123
1.0
-2.8409 1.4072 1.5210
-2.0243 -2.4361 -1.5271
1.2048 -5.7420 7.5628
In Cl Sr
1 2 1
Direct
0.5000 0.5000 0.0000
0.0000 0.0000 0.3311
0.0000 0.0000 0.6689
0.5000 0.5000 0.5000


Run y
SrInCl2, PBEsol geometry, DFT SCAN; space group = No. 47
1.0
-3.2764 1.6572 -1.6127
0.7686 -2.1581 -3.7792
-3.2889 -4.5982 1.9569
In Cl Sr
1 2 1
Direct
0.5000 0.5000 0.0000
0.0000 0.0000 0.0000
0.5000 0.0000 0.5000
0.0000 0.5000 0.5000


Result of the stability comparison: run w is the least stable of them.


Run w
TaInCl2, PBEsol geometry, DFT SCAN; space group = No. 35
1.0
3.1692 0.0000 0.0000
-1.5846 2.8587 0.0000
0.0000 0.0000 9.4126
Cl In Ta
2 1 1
Direct
0.5000 0.0000 0.2882
0.0000 0.0000 0.9530
0.0000 0.0000 0.5035
0.5000 0.0000 0.7552


Run x
TaInCl2, PBEsol geometry, DFT SCAN; space group = No. 123
1.0
-1.1205 1.6796 3.7009
1.9141 -3.1684 2.0175
3.7644 2.3273 0.0835
Cl Ta In
2 1 1
Direct
0.0000 0.5000 0.0000
0.5000 0.0000 0.0000
0.0000 0.0000 0.5000
0.5000 0.5000 0.5000


Run y
TaInCl2, PBEsol geometry, DFT SCAN; space group = No. 166
1.0
-0.8620 -0.5924 2.9168
1.9052 -1.5419 1.8958
4.7950 8.7660 4.8433
Cl In Ta
2 1 1
Direct
0.2793 0.2793 0.1621
0.7207 0.7207 0.8379
0.5000 0.5000 0.5000
0.0000 0.0000 0.0000


Run z
TaInCl2, PBEsol geometry, DFT SCAN; space group = No. 10
1.0
3.1005 0.0000 0.0103
0.0000 4.3958 0.0000
-0.2229 0.0000 5.5621
Ta In Cl
1 1 2
Direct
0.0000 0.5000 0.5000
0.5000 0.5000 0.0000
0.1238 0.0000 0.2713
0.8762 0.0000 0.7287


Result of the stability comparison: run x is the least stable of them.


Run w
In3TcCl, PBEsol geometry, DFT SCAN; space group = No. 221
1.0
5.1812 0.0000 0.0000
0.0000 5.1812 0.0000
0.0000 0.0000 5.1812
In Cl Tc
3 1 1
Direct
0.0000 0.0000 0.5000
0.0000 0.5000 0.0000
0.5000 0.0000 0.0000
0.0000 0.0000 0.0000
0.5000 0.5000 0.5000


Run x
In3TcCl, PBEsol geometry, DFT SCAN; space group = No. 221
1.0
5.1460 0.0000 0.0000
0.0000 5.1460 0.0000
0.0000 0.0000 5.1460
Cl Tc In
1 1 3
Direct
0.5000 0.5000 0.5000
0.0000 0.0000 0.0000
0.0000 0.5000 0.0000
0.5000 0.0000 0.0000
0.0000 0.0000 0.5000


Result of the stability comparison: run w is the least stable of them.


Run w
In2TcCl, PBEsol geometry, DFT SCAN; space group = No. 119
1.0
-1.8043 3.3195 1.5386
-1.4749 -2.2299 3.0813
5.4374 0.3700 0.1700
In Cl Tc
2 1 1
Direct
0.7500 0.2500 0.5000
0.0000 0.0000 0.0000
0.2500 0.7500 0.5000
0.5000 0.5000 0.0000


Run x
In2TcCl, PBEsol geometry, DFT SCAN; space group = No. 71
1.0
-2.7684 0.5829 -1.9405
-1.2839 -4.5702 0.4589
-0.4035 3.0563 4.5262
In Tc Cl
2 1 1
Direct
0.7643 0.7643 0.5286
0.2357 0.2357 0.4714
0.5000 0.0000 0.0000
0.0000 0.5000 0.0000


Run y
In2TcCl, PBEsol geometry, DFT SCAN; space group = No. 99
1.0
3.0030 0.0000 0.0000
0.0000 3.0030 0.0000
0.0000 0.0000 8.9608
In Cl Tc
2 1 1
Direct
0.0000 0.0000 0.0078
0.5000 0.5000 0.3009
0.5000 0.5000 0.6703
0.0000 0.0000 0.5210


Result of the stability comparison: run w is the least stable of them.


Run w
InTeCl2, PBEsol geometry, DFT SCAN; space group = No. 123
1.0
-3.2647 0.2914 -0.1294
-0.3185 -3.0477 1.1704
-0.0479 3.4748 9.0350
Te Cl In
1 2 1
Direct
0.5000 0.5000 0.5000
0.0000 0.0000 0.1683
0.0000 0.0000 0.8317
0.5000 0.5000 0.0000


Run x
InTeCl2, PBEsol geometry, DFT SCAN; space group = No. 166
1.0
-2.9503 -0.2821 -1.4532
-1.0703 -2.9574 -1.0018
-5.6003 -2.5652 8.1185
Cl Te In
2 1 1
Direct
0.0896 0.0896 0.7311
0.9104 0.9104 0.2689
0.5000 0.5000 0.5000
0.0000 0.0000 0.0000


Run y
InTeCl2, PBEsol geometry, DFT SCAN; space group = No. 44
1.0
3.4306 0.0000 0.0000
0.0000 4.6234 0.0000
-1.7153 -2.3117 6.5824
In Te Cl
1 1 2
Direct
0.5299 0.5299 0.0598
0.2332 0.7332 0.4664
0.7471 0.2471 0.4943
0.9898 0.9898 0.9795


Run z
InTeCl2, PBEsol geometry, DFT SCAN; space group = No. 6
1.0
-0.0119 -3.5609 2.1261
5.0407 0.9676 -0.3339
-0.2330 2.8752 4.8142
In Cl Te
1 2 1
Direct
0.3667 0.7435 0.0000
0.9369 0.0632 0.0000
0.4264 0.1115 0.5000
0.2701 0.5818 0.5000


Result of the stability comparison: run x is the least stable of them.


Run w
TlInCl2, PBEsol geometry, DFT SCAN; space group = No. 12
1.0
3.7304 0.0203 0.0204
-0.0424 5.2835 0.0106
-0.0424 -0.0160 5.2834
Cl Tl In
2 1 1
Direct
0.0000 0.0000 0.5000
0.0000 0.5000 0.0000
0.5000 0.5000 0.5000
0.5000 0.0000 0.0000


Run x
TlInCl2, PBEsol geometry, DFT SCAN; space group = No. 99
1.0
4.2525 0.0240 0.0000
-0.0238 4.2526 0.0000
0.0000 0.0000 6.4449
Cl In Tl
2 1 1
Direct
0.0000 0.0000 0.0352
0.5000 0.5000 0.6953
0.0000 0.0000 0.6063
0.5000 0.5000 0.1633


Result of the stability comparison: run w is the least stable of them.